The following is a PBE+U calculation of a relaxed Mn3AgB4O12 crystal, from the Alexandria database.

## Properties
Theoretical density   4.17 g cm⁻³
SG   R32 (155)
VASP energy   -7.336 eV/atom

```
Mn3AgB4O12
1.0
4.785 2.763 2.552
-4.785 2.763 2.552
0.000 -5.525 2.552
Mn Ag B O
3 1 4 12
Direct
0.000 0.549 0.451
0.451 0.000 0.549
0.549 0.451 0.000
0.000 0.000 0.000
0.054 0.500 0.946
0.500 0.500 0.500
0.500 0.946 0.054
0.946 0.054 0.500
0.019 0.617 0.779
0.092 0.908 0.500
0.221 0.383 0.981
0.355 0.645 0.500
0.383 0.981 0.221
0.500 0.092 0.908
0.500 0.355 0.645
0.617 0.779 0.019
0.645 0.500 0.355
0.779 0.019 0.617
0.908 0.500 0.092
0.981 0.221 0.383
```